## A
This record from Alexandria describes a relaxed structure of Tl2SiCl. The functional is PBE-GGA.

Lattice parameters (Å, degrees): 5.238 5.238 5.238 60.00 60.00 60.00
Sites, in units of the cell vectors:
1 Tl 0.250 0.250 0.250
2 Cl 0.500 0.500 0.500
3 Si 0.750 0.750 0.750
4 Tl 0.000 0.000 0.000

Computed properties:
Size of the total moment ... 0.00 μB/f.u.
Volume ... 101.6 Å³/cell
Mass density ... 7.72 Mg/m³

## B
This record from Alexandria describes a relaxed structure of Tl2SiCl. The functional is PBE-GGA.

Lattice parameters (Å, degrees): 3.638 3.638 9.044 90.00 90.00 90.00
Sites, in units of the cell vectors:
1 Cl 0.000 0.000 0.467
2 Si 0.500 0.500 0.793
3 Tl 0.500 0.500 0.291
4 Tl 0.000 0.000 0.949

Computed properties:
Size of the total moment ... 0.00 μB/f.u.
Volume ... 119.7 Å³/cell
Mass density ... 6.55 Mg/m³

## C
This record from Alexandria describes a relaxed structure of Tl2SiCl. The functional is PBE-GGA.

Lattice parameters (Å, degrees): 5.237 5.237 5.237 60.00 60.00 60.00
Sites, in units of the cell vectors:
1 Tl 0.750 0.750 0.750
2 Cl 0.500 0.500 0.500
3 Tl 0.250 0.250 0.250
4 Si 0.000 0.000 0.000

Computed properties:
Size of the total moment ... 0.00 μB/f.u.
Volume ... 101.6 Å³/cell
Mass density ... 7.72 Mg/m³

Most stable pick: B. Distance to second place: 0.013 eV/atom.

## A
This record from Alexandria describes a relaxed structure of TlSiCl. The functional is PBE-GGA.

Lattice parameters (Å, degrees): 3.331 3.331 7.448 90.00 90.00 120.00
Sites, in units of the cell vectors:
1 Cl 0.000 0.000 0.057
2 Si 0.667 0.333 0.300
3 Tl 0.333 0.667 0.643

Computed properties:
Size of the total moment ... 0.00 μB/f.u.
Volume ... 71.6 Å³/cell
Mass density ... 6.22 Mg/m³

## B
This record from Alexandria describes a relaxed structure of TlSiCl. The functional is PBE-GGA.

Lattice parameters (Å, degrees): 5.071 5.071 5.071 60.00 60.00 60.00
Last column: magnetic moment on the atom in μB.
Sites, in units of the cell vectors:
1 Cl 0.250 0.250 0.250  0.10
2 Tl 0.500 0.500 0.500  0.06
3 Si 0.000 0.000 0.000  0.31

Computed properties:
Size of the total moment ... 1.34 μB/f.u.
Volume ... 92.2 Å³/cell
Mass density ... 4.82 Mg/m³

Most stable pick: A. Distance to second place: 0.455 eV/atom.